# Rb2NpTeS4 PBE relaxed
# Uncorrected formation energy   -765 meV/atom
# Electronic total energy   -0.1867 Ha/atom
data_Rb2NpTeS4
_chemical_formula_sum 'Rb4 Np2 Te2 S8'
_cell_length_a 8.032
_cell_length_b 8.032
_cell_length_c 8.365
_cell_angle_alpha 90.00
_cell_angle_beta 90.00
_cell_angle_gamma 90.00
_space_group_name_H-M_alt 'I -4'
_space_group_IT_number 82
loop_
_space_group_symop_operation_xyz
'x,y,z'
'y,-x,-z'
'-x,-y,z'
'-y,x,-z'
'x+1/2,y+1/2,z+1/2'
'y+1/2,-x+1/2,-z+1/2'
'-x+1/2,-y+1/2,z+1/2'
'-y+1/2,x+1/2,-z+1/2'
loop_
_atom_site_label
_atom_site_type_symbol
_atom_site_fract_x
_atom_site_fract_y
_atom_site_fract_z
Rb1 Rb 0.000 0.000 0.000
Rb2 Rb 0.000 0.500 0.250
Np1 Np 0.000 0.500 0.750
Te1 Te 0.000 0.000 0.500
S1 S 0.154 0.710 0.566

# LiY2Cd PBE relaxed
# Electronic total energy   -0.1485 Ha/atom
# Energy relative to the lowest polymorph listed for this composition   0.048 eV per atom
data_LiY2Cd
_chemical_formula_sum 'Li1 Y2 Cd1'
_cell_length_a 3.437
_cell_length_b 4.967
_cell_length_c 6.353
_cell_angle_alpha 90.00
_cell_angle_beta 105.61
_cell_angle_gamma 90.00
_space_group_name_H-M_alt 'P 1 m 1'
_space_group_IT_number 6
loop_
_space_group_symop_operation_xyz
'x,y,z'
'x,-y,z'
loop_
_atom_site_label
_atom_site_type_symbol
_atom_site_fract_x
_atom_site_fract_y
_atom_site_fract_z
Li1 Li 0.000 0.000 0.000
Y1 Y 0.274 0.000 0.542
Y2 Y 0.600 0.500 0.195
Cd1 Cd 0.874 0.500 0.741

# La4AlSn3 PBE relaxed
# Electronic total energy   -0.1889 Ha/atom
data_La4AlSn3
_chemical_formula_sum 'La4 Al1 Sn3'
_cell_length_a 4.412
_cell_length_b 4.795
_cell_length_c 11.947
_cell_angle_alpha 90.00
_cell_angle_beta 90.00
_cell_angle_gamma 90.00
_space_group_name_H-M_alt 'P m m 2'
_space_group_IT_number 25
loop_
_space_group_symop_operation_xyz
'x,y,z'
'-x,-y,z'
'-x,y,z'
'x,-y,z'
loop_
_atom_site_label
_atom_site_type_symbol
_atom_site_fract_x
_atom_site_fract_y
_atom_site_fract_z
La1 La 0.000 0.000 0.000
La2 La 0.000 0.500 0.492
La3 La 0.500 0.000 0.719
La4 La 0.500 0.500 0.220
Al1 Al 0.000 0.000 0.281
Sn1 Sn 0.000 0.500 0.770
Sn2 Sn 0.500 0.000 0.432
Sn3 Sn 0.500 0.500 0.942

# LiSnB PBE relaxed
# Electronic total energy   -0.1275 Ha/atom
# Energy relative to the lowest polymorph listed for this composition   0.819 eV per atom
data_LiSnB
_chemical_formula_sum 'Li2 Sn2 B2'
_cell_length_a 4.2567
_cell_length_b 4.2567
_cell_length_c 8.1468
_cell_angle_alpha 90.00
_cell_angle_beta 90.00
_cell_angle_gamma 120.00
_space_group_name_H-M_alt 'P 63/m m c'
_space_group_IT_number 194
_space_group_name_Hall '-P 6c 2c'
loop_
_atom_site_label
_atom_site_type_symbol
_atom_site_fract_x
_atom_site_fract_y
_atom_site_fract_z
Li1 Li 0.3333 0.6667 0.2500
Sn1 Sn 0.0000 0.0000 0.0000
B1 B 0.0000 0.0000 0.2500

# Zr2MoOs PBE relaxed
# Electronic total energy   -0.3442 Ha/atom
data_Zr2MoOs
_chemical_formula_sum 'Zr8 Mo4 Os4'
_cell_length_a 7.436
_cell_length_b 7.436
_cell_length_c 5.637
_cell_angle_alpha 90.00
_cell_angle_beta 90.00
_cell_angle_gamma 90.00
_space_group_name_H-M_alt 'I -4 2 d'
_space_group_IT_number 122
_space_group_name_Hall 'I -4 2bw'
loop_
_atom_site_label
_atom_site_type_symbol
_atom_site_fract_x
_atom_site_fract_y
_atom_site_fract_z
Zr1 Zr 0.235 0.750 0.125
Mo1 Mo 0.000 0.000 0.500
Os1 Os 0.000 0.000 0.000

# BaBS2N PBE relaxed
# Uncorrected formation energy   -218 meV/atom
# Electronic total energy   -0.1931 Ha/atom
# Energy relative to the lowest polymorph listed for this composition   0.000 eV per atom
data_BaBS2N
_chemical_formula_sum 'Ba1 B1 S2 N1'
_cell_length_a 5.745
_cell_length_b 5.745
_cell_length_c 2.809
_cell_angle_alpha 90.00
_cell_angle_beta 90.00
_cell_angle_gamma 90.00
_space_group_name_H-M_alt 'P 4/m m m'
_space_group_IT_number 123
_space_group_name_Hall '-P 4 2'
loop_
_atom_site_label
_atom_site_type_symbol
_atom_site_fract_x
_atom_site_fract_y
_atom_site_fract_z
Ba1 Ba 0.000 0.000 0.000
B1 B 0.500 0.500 0.500
S1 S 0.000 0.500 0.500
N1 N 0.500 0.500 0.000

# TiCoMo PBE relaxed
# Electronic total energy   -0.3228 Ha/atom
# Energy relative to the lowest polymorph listed for this composition   0.000 eV per atom
data_TiCoMo
_chemical_formula_sum 'Ti16 Co16 Mo16'
_cell_length_a 4.718
_cell_length_b 8.424
_cell_length_c 17.250
_cell_angle_alpha 90.00
_cell_angle_beta 90.00
_cell_angle_gamma 90.00
_space_group_name_H-M_alt 'F d d d'
_space_group_IT_number 70
loop_
_space_group_symop_operation_xyz
'x,y,z'
'-x,-y,-z'
'-x+1/4,-y+1/4,z'
'x+1/4,y+1/4,-z'
'x,-y+1/4,-z+1/4'
'-x,y+1/4,z+1/4'
'-x+1/4,y,-z+1/4'
'x+1/4,-y,z+1/4'
'x,y+1/2,z+1/2'
'-x,-y+1/2,-z+1/2'
'-x+1/4,-y+3/4,z+1/2'
'x+1/4,y+3/4,-z+1/2'
'x,-y+3/4,-z+3/4'
'-x,y+3/4,z+3/4'
'-x+1/4,y+1/2,-z+3/4'
'x+1/4,-y+1/2,z+3/4'
'x+1/2,y,z+1/2'
'-x+1/2,-y,-z+1/2'
'-x+3/4,-y+1/4,z+1/2'
'x+3/4,y+1/4,-z+1/2'
'x+1/2,-y+1/4,-z+3/4'
'-x+1/2,y+1/4,z+3/4'
'-x+3/4,y,-z+3/4'
'x+3/4,-y,z+3/4'
'x+1/2,y+1/2,z'
'-x+1/2,-y+1/2,-z'
'-x+3/4,-y+3/4,z'
'x+3/4,y+3/4,-z'
'x+1/2,-y+3/4,-z+1/4'
'-x+1/2,y+3/4,z+1/4'
'-x+3/4,y+1/2,-z+1/4'
'x+3/4,-y+1/2,z+1/4'
loop_
_atom_site_label
_atom_site_type_symbol
_atom_site_fract_x
_atom_site_fract_y
_atom_site_fract_z
Ti1 Ti 0.125 0.125 0.045
Co1 Co 0.125 0.125 0.502
Mo1 Mo 0.125 0.296 0.625

# Ce8Ge2Rh3 PBE relaxed
# Electronic total energy   -0.2368 Ha/atom
data_Ce8Ge2Rh3
_chemical_formula_sum 'Ce16 Ge4 Rh6'
_cell_length_a 16.426
_cell_length_b 6.926
_cell_length_c 6.443
_cell_angle_alpha 90.00
_cell_angle_beta 108.98
_cell_angle_gamma 90.00
_space_group_name_H-M_alt 'C 1 2/m 1'
_space_group_IT_number 12
loop_
_space_group_symop_operation_xyz
'x,y,z'
'-x,-y,-z'
'-x,y,-z'
'x,-y,z'
'x+1/2,y+1/2,z'
'-x+1/2,-y+1/2,-z'
'-x+1/2,y+1/2,-z'
'x+1/2,-y+1/2,z'
loop_
_atom_site_label
_atom_site_type_symbol
_atom_site_fract_x
_atom_site_fract_y
_atom_site_fract_z
Ce1 Ce 0.096 0.000 0.429
Ce2 Ce 0.105 0.282 0.927
Ce3 Ce 0.196 0.500 0.575
Ge1 Ge 0.235 0.000 0.845
Rh1 Rh 0.000 0.000 0.000
Rh2 Rh 0.000 0.307 0.500

Question: electronic total energy of number 8 (Ce8Ge2Rh3)?
Answer: -0.2368 Ha/atom

Question: The lowest electronic total energy belongs to which entry?
Answer: Zr2MoOs